Here is a relaxed structure of Tl2ZnOs from the Alexandria database. Energies are from GGA-PBE.

a = 3.1112 Å, b = 3.1112 Å, c = 8.6226 Å
α = 90.00°, β = 90.00°, γ = 90.00°
Space group P4/mmm (No. 123)
Inequivalent atoms, fractional coordinates:
Tl1 0.0000 0.0000 0.2257
Zn1 0.5000 0.5000 0.5000
Os1 0.5000 0.5000 0.0000

distance to the lowest polymorph of the same formula = 0.297 eV per atom
formation enthalpy at 0 K = 0.8286 eV/atom
electronic total energy = -3.481 eV per atom

=====

Here is a relaxed structure of Tm4MnCd3 from the Alexandria database. Energies are from GGA-PBE.

a = 3.4464 Å, b = 3.4464 Å, c = 16.1740 Å
α = 90.00°, β = 90.00°, γ = 90.00°
Space group P4/mmm (No. 123)
Inequivalent atoms, fractional coordinates:
Tm1 0.0000 0.0000 0.1058
Tm2 0.0000 0.0000 0.3688
Mn1 0.5000 0.5000 0.0000
Cd1 0.5000 0.5000 0.2398
Cd2 0.5000 0.5000 0.5000

formation enthalpy at 0 K = -0.1921 eV/atom
electronic total energy = -3.917 eV per atom

=====

Here is a relaxed structure of Mn2HgSb from the Alexandria database. Energies are from GGA-PBE.

a = 6.0706 Å, b = 7.4047 Å, c = 3.3517 Å
α = 90.00°, β = 90.37°, γ = 90.00°
Space group C2/m (No. 12)
Inequivalent atoms, fractional coordinates:
Mn1 0.2500 0.2500 0.0000
Hg1 0.0000 0.0000 0.5000
Sb1 0.0000 0.5000 0.5000

distance to the lowest polymorph of the same formula = 0.088 eV per atom
ΔE_f (raw) = 0.334 eV/atom
electronic total energy = -5.356 eV per atom

=====

Here is a relaxed structure of CrSiIr from the Alexandria database. Energies are from GGA-PBE.

a = 2.8175 Å, b = 2.8175 Å, c = 9.6755 Å
α = 90.00°, β = 90.00°, γ = 90.00°
Space group I4mm (No. 107)
Inequivalent atoms, fractional coordinates:
Cr1 0.0000 0.0000 0.0000
Si1 0.0000 0.0000 0.6518
Ir1 0.0000 0.0000 0.3099

ΔE_f (raw) = -0.298 eV/atom
electronic total energy = -8.268 eV per atom

=====

Here is a relaxed structure of Sm3HfPb5 from the Alexandria database. Energies are from GGA-PBE.

a = 9.5377 Å, b = 9.5377 Å, c = 6.4428 Å
α = 90.00°, β = 90.00°, γ = 120.00°
Space group P6_3/mcm (No. 193)
Inequivalent atoms, fractional coordinates:
Sm1 0.0000 0.3852 0.2500
Hf1 0.0000 0.0000 0.0000
Pb1 0.0000 0.2720 0.7500
Pb2 0.3333 0.6667 0.0000

formation enthalpy at 0 K = -0.3965 eV/atom
electronic total energy = -5.136 eV per atom

=====

Here is a relaxed structure of Al2CuNi2 from the Alexandria database. Energies are from GGA-PBE.

a = 3.5138 Å, b = 3.5138 Å, c = 11.1548 Å
α = 90.00°, β = 90.00°, γ = 90.00°
Space group P4/nmm (No. 129, origin choice 2)
Inequivalent atoms, fractional coordinates:
Al1 0.2500 0.2500 0.1469
Al2 0.2500 0.7500 0.5000
Cu1 0.2500 0.2500 0.7303
Ni1 0.2500 0.2500 0.3542
Ni2 0.2500 0.7500 0.0000

distance to the lowest polymorph of the same formula = 0.317 eV per atom
formation enthalpy at 0 K = -0.1161 eV/atom
electronic total energy = -4.745 eV per atom